Version 1
# BeVCl3 PBE-GGA optimized geometry
# **Magnetization**: 0.78 μB per atom
# **DOS at the Fermi energy**: 6.449 states/eV per cell
data_BeVCl3
_chemical_formula_sum 'Be1 V1 Cl3'
_cell_length_a 4.506
_cell_length_b 4.506
_cell_length_c 4.506
_cell_angle_alpha 90.00
_cell_angle_beta 90.00
_cell_angle_gamma 90.00
_symmetry_space_group_name_H-M 'P m -3 m'
_symmetry_Int_Tables_number 221
_symmetry_space_group_name_Hall '-P 4 2 3'
loop_
_atom_site_label
_atom_site_type_symbol
_atom_site_fract_x
_atom_site_fract_y
_atom_site_fract_z
Be1 Be 0.000 0.000 0.000
V1 V 0.500 0.500 0.500
Cl1 Cl 0.000 0.000 0.500



Version 2
# BeVCl3 PBE-GGA optimized geometry
# **Magnetization**: 0.40 μB per atom
# **DOS at the Fermi energy**: 2.970 states/eV per cell
data_BeVCl3
_chemical_formula_sum 'Be1 V1 Cl3'
_cell_length_a 4.837
_cell_length_b 4.837
_cell_length_c 4.837
_cell_angle_alpha 90.00
_cell_angle_beta 90.00
_cell_angle_gamma 90.00
_symmetry_space_group_name_H-M 'P m -3 m'
_symmetry_Int_Tables_number 221
_symmetry_space_group_name_Hall '-P 4 2 3'
loop_
_atom_site_label
_atom_site_type_symbol
_atom_site_fract_x
_atom_site_fract_y
_atom_site_fract_z
Be1 Be 0.000 0.000 0.000
V1 V 0.500 0.500 0.500
Cl1 Cl 0.000 0.500 0.500



Stability ranking, top and bottom: version 1 is the most stable and version 2 is the least stable.